No. 1
This record from the Alexandria database describes an optimized crystal structure of MnCo2IrOs. The functional is GGA-PBE.

Cell lengths 4.3996, 4.7251, 4.3996 Å; angles 90.00, 90.00, 90.00 degrees
Last column: magnetic moment on the atom in μB.
Positions (direct):
Ir 0.0000 0.5000 0.0000  -0.07
Co 0.5000 0.0000 0.0000  -0.87
Co 0.0000 0.0000 0.5000  -1.18
Mn 0.5000 0.5000 0.5000  -0.27
Os 0.0000 0.0000 0.0000  -0.09

Summary:
Energy relative to the elements = 9.84 eV per formula unit
E_tot = -6.726 eV per atom

---

No. 2
This record from the Alexandria database describes an optimized crystal structure of PaMnCoIr. The functional is GGA-PBE.

Cell lengths 4.5853, 4.5853, 4.5853 Å; angles 60.00, 60.00, 60.00 degrees
Last column: magnetic moment on the atom in μB.
Positions (direct):
Mn 0.0000 0.0000 0.0000  3.73
Co 0.7500 0.7500 0.7500  0.63
Ir 0.2500 0.2500 0.2500  0.23
Pa 0.5000 0.5000 0.5000  -0.01

Summary:
Energy relative to the elements = -0.71 eV per formula unit
E_tot = -8.836 eV per atom

---

No. 3
This record from the Alexandria database describes an optimized crystal structure of PuMnCoIr. The functional is GGA-PBE.

Cell lengths 4.5321, 4.5321, 4.5321 Å; angles 60.00, 60.00, 60.00 degrees
Last column: magnetic moment on the atom in μB.
Positions (direct):
Ir 0.0000 0.0000 0.0000  0.02
Pu 0.7500 0.7500 0.7500  4.83
Mn 0.2500 0.2500 0.2500  3.85
Co 0.5000 0.5000 0.5000  -0.63

Summary:
Energy relative to the elements = -0.02 eV per formula unit
E_tot = -9.872 eV per atom

---

No. 4
This record from the Alexandria database describes an optimized crystal structure of MnCoIrRh. The functional is GGA-PBE.

Cell lengths 4.2413, 4.2413, 4.2413 Å; angles 60.00, 60.00, 60.00 degrees
Last column: magnetic moment on the atom in μB.
Positions (direct):
Co 0.5000 0.5000 0.5000  1.84
Rh 0.2500 0.2500 0.2500  0.65
Mn 0.0000 0.0000 0.0000  3.20
Ir 0.7500 0.7500 0.7500  0.60

Summary:
Energy relative to the elements = 0.39 eV per formula unit
E_tot = -8.024 eV per atom

---

No. 5
This record from the Alexandria database describes an optimized crystal structure of Mn2CoIrRh. The functional is GGA-PBE.

Cell lengths 4.3325, 4.3205, 4.3325 Å; angles 90.00, 90.00, 90.00 degrees
Last column: magnetic moment on the atom in μB.
Positions (direct):
Mn 0.0000 0.0000 0.5000  3.44
Mn 0.5000 0.0000 0.0000  3.56
Rh 0.0000 0.5000 0.0000  0.51
Ir 0.5000 0.5000 0.5000  0.23
Co 0.0000 0.0000 0.0000  1.07

Summary:
Energy relative to the elements = 5.30 eV per formula unit
E_tot = -7.271 eV per atom

---

No. 6
This record from the Alexandria database describes an optimized crystal structure of MnCo2IrRu. The functional is GGA-PBE.

Cell lengths 4.1366, 4.4146, 4.1366 Å; angles 90.00, 90.00, 90.00 degrees
Last column: magnetic moment on the atom in μB.
Positions (direct):
Ir 0.0000 0.5000 0.0000  0.26
Mn 0.0000 0.0000 0.0000  0.14
Co 0.5000 0.0000 0.0000  1.06
Co 0.0000 0.0000 0.5000  0.93
Ru 0.5000 0.5000 0.5000  1.66

Summary:
Energy relative to the elements = 6.88 eV per formula unit
E_tot = -6.928 eV per atom

---

No. 7
This record from the Alexandria database describes an optimized crystal structure of ScMnCo2Ir. The functional is GGA-PBE.

Cell lengths 4.2198, 4.4596, 4.2198 Å; angles 90.00, 90.00, 90.00 degrees
Last column: magnetic moment on the atom in μB.
Positions (direct):
Ir 0.5000 0.5000 0.5000  0.61
Co 0.0000 0.0000 0.5000  1.23
Co 0.5000 0.0000 0.0000  1.16
Sc 0.0000 0.0000 0.0000  -0.32
Mn 0.0000 0.5000 0.0000  3.30

Summary:
Energy relative to the elements = 7.13 eV per formula unit
E_tot = -6.289 eV per atom

---

No. 8
This record from the Alexandria database describes an optimized crystal structure of TaMnCoIr. The functional is GGA-PBE.

Cell lengths 3.7717, 3.8351, 3.7647 Å; angles 90.00, 90.00, 90.00 degrees
Last column: magnetic moment on the atom in μB.
Positions (direct):
Ir 0.0000 0.0000 0.0000  0.00
Mn 0.5000 0.0000 0.5000  2.10
Ta 0.0000 0.5000 0.5000  -0.17
Co 0.5000 0.5000 0.0000  -0.31

Summary:
Energy relative to the elements = -1.32 eV per formula unit
E_tot = -9.578 eV per atom

---

No. 9
This record from the Alexandria database describes an optimized crystal structure of MnCoTe2Ir. The functional is GGA-PBE.

Cell lengths 5.1825, 4.4640, 5.1825 Å; angles 90.00, 90.00, 90.00 degrees
Last column: magnetic moment on the atom in μB.
Positions (direct):
Te 0.0000 0.0000 0.5000  0.00
Te 0.5000 0.0000 0.0000  0.02
Ir 0.0000 0.0000 0.0000  -0.04
Co 0.0000 0.5000 0.0000  -0.18
Mn 0.5000 0.5000 0.5000  0.18

Summary:
Formation energy without anion corrections = 7.3 eV per formula unit
E_tot = -4.827 eV per atom

---

No. 10
This record from the Alexandria database describes an optimized crystal structure of MnVCoIr. The functional is GGA-PBE.

Cell lengths 3.7024, 3.6781, 3.6585 Å; angles 90.00, 90.00, 90.00 degrees
Last column: magnetic moment on the atom in μB.
Positions (direct):
V 0.0000 0.5000 0.5000  -0.54
Co 0.5000 0.5000 0.0000  -0.21
Ir 0.0000 0.0000 0.0000  0.02
Mn 0.5000 0.0000 0.5000  2.13

Summary:
Energy relative to the elements = -1.14 eV per formula unit
E_tot = -8.848 eV per atom

---

No. 11
This record from the Alexandria database describes an optimized crystal structure of MnCoIrW. The functional is GGA-PBE.

Cell lengths 4.3083, 4.3083, 4.3083 Å; angles 60.00, 60.00, 60.00 degrees
Last column: magnetic moment on the atom in μB.
Positions (direct):
Co 0.7500 0.7500 0.7500  1.72
Ir 0.2500 0.2500 0.2500  0.63
W 0.0000 0.0000 0.0000  0.28
Mn 0.5000 0.5000 0.5000  3.54

Summary:
Energy relative to the elements = 0.15 eV per formula unit
E_tot = -9.485 eV per atom
Energy relative to the lowest polymorph listed for this composition = 192 meV/atom

---

No. 12
This record from the Alexandria database describes an optimized crystal structure of MnCoIrW. The functional is GGA-PBE.

Cell lengths 3.6785, 3.7664, 3.7781 Å; angles 90.00, 90.00, 90.00 degrees
Last column: magnetic moment on the atom in μB.
Positions (direct):
Co 0.5000 0.5000 0.0000  -0.40
W 0.0000 0.5000 0.5000  -0.31
Mn 0.5000 0.0000 0.5000  1.75
Ir 0.0000 0.0000 0.0000  -0.02

Summary:
Energy relative to the elements = -0.62 eV per formula unit
E_tot = -9.677 eV per atom
Energy relative to the lowest polymorph listed for this composition = 0 meV/atom

---

No. 13
This record from the Alexandria database describes an optimized crystal structure of YMn2CoIr. The functional is GGA-PBE.

Cell lengths 4.4951, 4.6387, 4.4951 Å; angles 90.00, 90.00, 90.00 degrees
Last column: magnetic moment on the atom in μB.
Positions (direct):
Co 0.0000 0.5000 0.0000  1.60
Y 0.5000 0.5000 0.5000  -0.02
Mn 0.5000 0.0000 0.0000  -0.50
Mn 0.0000 0.0000 0.5000  -0.41
Ir 0.0000 0.0000 0.0000  0.20

Summary:
Energy relative to the elements = 4.18 eV per formula unit
E_tot = -7.318 eV per atom

---

No. 14
This record from the Alexandria database describes an optimized crystal structure of CoMoIr4. The functional is GGA-PBE.

Cell lengths 5.0981, 5.0981, 5.0981 Å; angles 60.00, 60.00, 60.00 degrees
Last column: magnetic moment on the atom in μB.
Positions (direct):
Ir 0.8760 0.3747 0.3747  0.14
Ir 0.3747 0.3747 0.3747  0.14
Ir 0.3747 0.8760 0.3747  0.14
Ir 0.3747 0.3747 0.8760  0.14
Co 0.0000 0.0000 0.0000  1.89
Mo 0.7500 0.7500 0.7500  -0.46

Summary:
Energy relative to the elements = 2.49 eV per formula unit
E_tot = -8.481 eV per atom

---

No. 15
This record from the Alexandria database describes an optimized crystal structure of Co2MoIr. The functional is GGA-PBE.

Cell lengths 4.5768, 4.5768, 4.4904 Å; angles 79.64, 79.64, 34.18 degrees
Last column: magnetic moment on the atom in μB.
Positions (direct):
Co 0.0045 0.0045 0.9881  0.97
Co 0.7470 0.7470 0.7608  1.13
Mo 0.2528 0.2528 0.2423  -0.10
Ir 0.4957 0.4957 0.5088  0.13

Summary:
Energy relative to the elements = 0.02 eV per formula unit
E_tot = -8.470 eV per atom

---

No. 16
This record from the Alexandria database describes an optimized crystal structure of CoMo2Ir2. The functional is GGA-PBE.

Cell lengths 4.6948, 4.9387, 4.1402 Å; angles 65.40, 63.99, 67.04 degrees
Last column: magnetic moment on the atom in μB.
Positions (direct):
Co 0.0000 0.5000 0.0000  1.00
Mo 0.2719 0.8519 0.1866  -0.09
Mo 0.7281 0.1481 0.8134  -0.09
Ir 0.7039 0.7398 0.5279  0.03
Ir 0.2961 0.2602 0.4721  0.03

Summary:
Energy relative to the elements = 0.64 eV per formula unit
E_tot = -9.170 eV per atom
Energy relative to the lowest polymorph listed for this composition = 0 meV/atom

---

No. 17
This record from the Alexandria database describes an optimized crystal structure of Co2MoIr. The functional is GGA-PBE.

Cell lengths 4.0304, 2.6369, 4.9650 Å; angles 74.60, 90.00, 90.00 degrees
Positions (direct):
Ir 0.0000 0.4590 0.4565
Co 0.5000 0.0574 0.2596
Co 0.0000 0.1883 0.9991
Mo 0.5000 0.7952 0.7849

Summary:
Energy relative to the elements = -0.10 eV per formula unit
E_tot = -8.502 eV per atom

---

No. 18
This record from the Alexandria database describes an optimized crystal structure of Co2MoIr2. The functional is GGA-PBE.

Cell lengths 7.0265, 7.0265, 2.7085 Å; angles 90.00, 90.00, 90.00 degrees
Last column: magnetic moment on the atom in μB.
Positions (direct):
Mo 0.5000 0.5000 0.0000  -0.15
Mo 0.0000 0.0000 0.0000  -0.15
Ir 0.1753 0.6753 0.5000  0.13
Ir 0.6753 0.8247 0.5000  0.13
Ir 0.8247 0.3247 0.5000  0.13
Ir 0.3247 0.1753 0.5000  0.13
Co 0.6207 0.1207 0.0000  0.76
Co 0.1207 0.3793 0.0000  0.76
Co 0.3793 0.8793 0.0000  0.76
Co 0.8793 0.6207 0.0000  0.76

Summary:
Energy relative to the elements = 0.30 eV per formula unit
E_tot = -8.493 eV per atom
Energy relative to the lowest polymorph listed for this composition = 0 meV/atom

---

No. 19
This record from the Alexandria database describes an optimized crystal structure of CoMo3Ir. The functional is GGA-PBE.

Cell lengths 4.3823, 4.3823, 4.3823 Å; angles 90.00, 90.00, 90.00 degrees
Positions (direct):
Mo 0.0000 0.5000 0.0000
Mo 0.5000 0.0000 0.0000
Mo 0.0000 0.0000 0.5000
Co 0.0000 0.0000 0.0000
Ir 0.5000 0.5000 0.5000

Summary:
Energy relative to the elements = 5.83 eV per formula unit
E_tot = -8.526 eV per atom
Energy relative to the lowest polymorph listed for this composition = 0 meV/atom

---

No. 20
This record from the Alexandria database describes an optimized crystal structure of Co2MoIr2. The functional is GGA-PBE.

Cell lengths 7.1193, 7.1193, 2.7008 Å; angles 90.00, 90.00, 90.00 degrees
Last column: magnetic moment on the atom in μB.
Positions (direct):
Co 0.8314 0.3314 0.5000  1.05
Co 0.1686 0.6686 0.5000  1.05
Co 0.3314 0.1686 0.5000  1.02
Co 0.6686 0.8314 0.5000  1.02
Ir 0.3703 0.8703 0.0000  0.16
Ir 0.8703 0.6297 0.0000  0.16
Ir 0.1297 0.3703 0.0000  0.16
Ir 0.6297 0.1297 0.0000  0.16
Mo 0.0000 0.0000 0.0000  -0.25
Mo 0.5000 0.5000 0.0000  -0.25

Summary:
Energy relative to the elements = 0.80 eV per formula unit
E_tot = -8.392 eV per atom
Energy relative to the lowest polymorph listed for this composition = 101 meV/atom